[1]
Ag7Pt4: PBEsol geometry, meta-GGA SCAN.

Values from the calculation:
ΔH_f (0 K) (eV/atom): 0.017
Energy above the most stable polymorph in this dataset (meV/atom): 13
Magnetic moment (μB per cell): 0.000

Cell: 4.8320 4.9185 7.4829 Å, 90.13 95.68 99.95°
With the nearest neighbours (Å) after each atom.
Fractional coordinates of all 11 atoms:
Ag: 0.7245 0.9539 0.9071  8 Ag 2.79-2.88, 4 Pt 2.81-2.82
Ag: 0.0000 0.5000 0.0000  6 Pt 2.77-2.80, 6 Ag 2.84-2.85
Ag: 0.2755 0.0461 0.0929  8 Ag 2.79-2.88, 4 Pt 2.81-2.82
Ag: 0.8191 0.1339 0.2774  7 Ag 2.77-2.88, 5 Pt 2.78-2.86
Ag: 0.3633 0.2287 0.4583  6 Ag 2.77-2.84, 6 Pt 2.81-2.89
Ag: 0.6367 0.7713 0.5417  6 Ag 2.77-2.84, 6 Pt 2.81-2.89
Ag: 0.1809 0.8661 0.7226  7 Ag 2.77-2.88, 5 Pt 2.78-2.86
Pt: 0.5447 0.5908 0.1796  3 Pt 2.77-2.80, 9 Ag 2.79-2.86
Pt: 0.0880 0.6726 0.3566  9 Ag 2.77-2.89, 3 Pt 2.77-2.84
Pt: 0.9120 0.3274 0.6434  9 Ag 2.77-2.89, 3 Pt 2.77-2.84
Pt: 0.4553 0.4092 0.8204  3 Pt 2.77-2.80, 9 Ag 2.79-2.86


[2]
Ag3Pt2: PBEsol geometry, meta-GGA SCAN.

Values from the calculation:
ΔH_f (0 K) (eV/atom): 0.029
Energy above the most stable polymorph in this dataset (meV/atom): 73
Magnetic moment (μB per cell): 0.000

Cell: 4.0021 5.5958 7.4745 Å, 101.70 105.53 90.00°
With the nearest neighbours (Å) after each atom.
Fractional coordinates of all 10 atoms:
Ag: 0.0004 0.0002 0.0008  7 Ag 2.79-2.82, 5 Pt 2.83-2.87
Ag: 0.2001 0.1028 0.4003  8 Pt 2.78-2.84, 4 Ag 2.79-2.82
Ag: 0.4006 0.1949 0.8013  9 Ag 2.77-2.83, 3 Pt 2.83-2.84
Ag: 0.8004 0.3950 0.6008  5 Pt 2.78-2.87, 7 Ag 2.79-2.83
Ag: 0.0014 0.5018 0.0027  5 Pt 2.77-2.82, 7 Ag 2.79-2.84
Ag: 0.3988 0.6986 0.7976  8 Ag 2.77-2.84, 4 Pt 2.82-2.85
Pt: 0.6019 0.3082 0.2037  4 Pt 2.78-2.82, 8 Ag 2.80-2.84
Pt: 0.1984 0.6042 0.3967  6 Pt 2.76-2.80, 6 Ag 2.77-2.87
Pt: 0.6015 0.8044 0.2031  5 Pt 2.75-2.82, 7 Ag 2.79-2.85
Pt: 0.7965 0.8900 0.5930  3 Pt 2.75-2.76, 9 Ag 2.78-2.87


[3]
Ag5Pt6: PBEsol geometry, meta-GGA SCAN.

Values from the calculation:
ΔH_f (0 K) (eV/atom): 0.050
Energy above the most stable polymorph in this dataset (meV/atom): 15
Magnetic moment (μB per cell): 0.246

Cell: 4.8860 6.2446 6.2682 Å, 107.88 97.52 105.00°
With the nearest neighbours (Å) after each atom.
Fractional coordinates of all 11 atoms:
Pt: 0.9045 0.6248 0.1859  5 Pt 2.72-2.79, 7 Ag 2.76-2.88
Pt: 0.8229 0.2756 0.3669  5 Pt 2.72-2.81, 7 Ag 2.81-2.84
Pt: 0.7324 0.9134 0.5449  6 Pt 2.74-2.82, 6 Ag 2.79-2.82
Pt: 0.1852 0.7305 0.6343  6 Pt 2.76-2.82, 6 Ag 2.76-2.85
Pt: 0.0804 0.3653 0.8121  6 Pt 2.73-2.88, 6 Ag 2.77-2.84
Pt: 0.5478 0.1820 0.9098  6 Pt 2.73-2.88, 6 Ag 2.78-2.82
Ag: 0.0014 0.0000 0.0002  5 Ag 2.77-2.83, 7 Pt 2.80-2.88
Ag: 0.4531 0.8173 0.0909  5 Ag 2.78-2.83, 7 Pt 2.80-2.86
Ag: 0.3647 0.4538 0.2705  8 Pt 2.76-2.84, 4 Ag 2.78-2.82
Ag: 0.2727 0.0888 0.4551  8 Pt 2.76-2.84, 4 Ag 2.79-2.82
Ag: 0.6349 0.5484 0.7293  8 Pt 2.77-2.85, 4 Ag 2.77-2.81


[4]
Ag4Pt: PBEsol geometry, meta-GGA SCAN.

Values from the calculation:
ΔH_f (0 K) (eV/atom): 0.429
Energy above the most stable polymorph in this dataset (meV/atom): 444
Magnetic moment (μB per cell): 0.000

Cell: 3.6265 3.6265 7.3012 Å, 104.38 104.38 90.00°
With the nearest neighbours (Å) after each atom.
Fractional coordinates of all 5 atoms:
Ag: 0.7500 0.2500 0.5000  8 Ag 2.56-2.79
Ag: 0.4049 0.4049 0.8098  5 Ag 2.60-2.79, 4 Pt 2.88
Ag: 0.5951 0.5951 0.1902  5 Ag 2.60-2.79, 4 Pt 2.88
Ag: 0.2500 0.7500 0.5000  8 Ag 2.56-2.79
Pt: 0.0000 0.0000 0.0000  8 Ag 2.88